A plane-wave DFT calculation with PBE-GGA was carried out for a relaxed structure of RbMn2Sb.

Unit cell a=5.4744 b=5.4744 c=9.8824 alpha=73.92 beta=73.92 gamma=90.00
Atoms (fractional coordinates):
Mn1 0.8750 0.1249 0.7500
Mn2 0.8751 0.6250 0.2500
Mn3 0.8749 0.1250 0.2500
Mn4 0.3750 0.1251 0.7500
Sb1 0.0000 0.0000 0.0000
Sb2 0.7500 0.2500 0.5000
Rb1 0.2500 0.7500 0.5000
Rb2 0.5000 0.5000 0.0000

Calculated values
Total magnetic moment, μB per atom: 1.989
Total energy, eV/atom: -5.329
ρ, g/cm3: 3.865
Space-group type: I4_1/amd